Tb2RhBr | PBE | optimized geometry

Geometry as CIF:
```
data_Tb2RhBr
_chemical_formula_sum 'Tb2 Rh1 Br1'
_cell_length_a 3.4137
_cell_length_b 3.4137
_cell_length_c 8.1948
_cell_angle_alpha 90.00
_cell_angle_beta 90.00
_cell_angle_gamma 90.00
_symmetry_space_group_name_H-M 'P 4/m m m'
_symmetry_Int_Tables_number 123
_symmetry_space_group_name_Hall '-P 4 2'
loop_
_atom_site_label
_atom_site_fract_x
_atom_site_fract_y
_atom_site_fract_z
Tb1 0.0000 0.0000 0.2077
Rh1 0.5000 0.5000 0.0000
Br1 0.5000 0.5000 0.5000
```

Properties
excess energy over the best structure of this formula in the dataset	184	meV per atom
density of states at the Fermi level	1.67	states/eV/f.u.
formation energy without anion corrections	-0.910	eV per atom

=====

Tb5SmEr | PBE | optimized geometry

Geometry as CIF:
```
data_Tb5SmEr
_chemical_formula_sum 'Tb10 Sm2 Er2'
_cell_length_a 7.9832
_cell_length_b 11.6483
_cell_length_c 6.1567
_cell_angle_alpha 90.00
_cell_angle_beta 90.00
_cell_angle_gamma 90.00
_symmetry_space_group_name_H-M 'I m m 2'
_symmetry_Int_Tables_number 44
loop_
_symmetry_equiv_pos_as_xyz
'x,y,z'
'-x,-y,z'
'-x,y,z'
'x,-y,z'
'x+1/2,y+1/2,z+1/2'
'-x+1/2,-y+1/2,z+1/2'
'-x+1/2,y+1/2,z+1/2'
'x+1/2,-y+1/2,z+1/2'
loop_
_atom_site_label
_atom_site_fract_x
_atom_site_fract_y
_atom_site_fract_z
Tb1 0.0000 0.0000 0.0000
Tb2 0.0000 0.2456 0.2649
Tb3 0.1793 0.5000 0.7628
Sm1 0.0000 0.5000 0.2616
Er1 0.0000 0.0000 0.5243
```

Properties
excess energy over the best structure of this formula in the dataset	760	meV per atom
density of states at the Fermi level	7.92	states/eV/f.u.

=====

ScCd2Cl | PBE | optimized geometry

Geometry as CIF:
```
data_ScCd2Cl
_chemical_formula_sum 'Sc2 Cd4 Cl2'
_cell_length_a 3.2682
_cell_length_b 5.5178
_cell_length_c 10.7100
_cell_angle_alpha 90.00
_cell_angle_beta 90.00
_cell_angle_gamma 90.00
_symmetry_space_group_name_H-M 'I m m 2'
_symmetry_Int_Tables_number 44
loop_
_symmetry_equiv_pos_as_xyz
'x,y,z'
'-x,-y,z'
'-x,y,z'
'x,-y,z'
'x+1/2,y+1/2,z+1/2'
'-x+1/2,-y+1/2,z+1/2'
'-x+1/2,y+1/2,z+1/2'
'x+1/2,-y+1/2,z+1/2'
loop_
_atom_site_label
_atom_site_fract_x
_atom_site_fract_y
_atom_site_fract_z
Sc1 0.0000 0.0000 0.0000
Cd1 0.0000 0.0000 0.5317
Cd2 0.0000 0.5000 0.7449
Cl1 0.0000 0.5000 0.3223
```

Properties
excess energy over the best structure of this formula in the dataset	83	meV per atom
density of states at the Fermi level	3.40	states/eV/f.u.
formation energy without anion corrections	-0.508	eV per atom

=====

Zn5Cu3 | PBE | optimized geometry

Geometry as CIF:
```
data_Zn5Cu3
_chemical_formula_sum 'Zn10 Cu6'
_cell_length_a 7.5832
_cell_length_b 7.8957
_cell_length_c 3.5884
_cell_angle_alpha 90.00
_cell_angle_beta 90.00
_cell_angle_gamma 90.00
_symmetry_space_group_name_H-M 'C m m m'
_symmetry_Int_Tables_number 65
_symmetry_space_group_name_Hall '-C 2 2'
loop_
_atom_site_label
_atom_site_fract_x
_atom_site_fract_y
_atom_site_fract_z
Zn1 0.0000 0.0000 0.0000
Zn2 0.2400 0.5000 0.5000
Zn3 0.2500 0.2500 0.0000
Cu1 0.0000 0.2491 0.5000
Cu2 0.0000 0.5000 0.0000
```

Properties
excess energy over the best structure of this formula in the dataset	18	meV per atom
density of states at the Fermi level	1.83	states/eV/f.u.

=====

Cd2NiHRh | PBE | optimized geometry

Geometry as CIF:
```
data_Cd2NiHRh
_chemical_formula_sum 'Cd2 Ni1 H1 Rh1'
_cell_length_a 4.5153
_cell_length_b 4.5153
_cell_length_c 3.4085
_cell_angle_alpha 90.00
_cell_angle_beta 90.00
_cell_angle_gamma 90.00
_symmetry_space_group_name_H-M 'P 4/m m m'
_symmetry_Int_Tables_number 123
_symmetry_space_group_name_Hall '-P 4 2'
loop_
_atom_site_label
_atom_site_fract_x
_atom_site_fract_y
_atom_site_fract_z
Cd1 0.0000 0.5000 0.0000
Ni1 0.0000 0.0000 0.5000
H1 0.5000 0.5000 0.0000
Rh1 0.5000 0.5000 0.5000
```

Properties
excess energy over the best structure of this formula in the dataset	1	meV per atom
density of states at the Fermi level	1.49	states/eV/f.u.

=====

ErMgZr | PBE | optimized geometry

Geometry as CIF:
```
data_ErMgZr
_chemical_formula_sum 'Er2 Mg2 Zr2'
_cell_length_a 4.5788
_cell_length_b 4.5788
_cell_length_c 7.6776
_cell_angle_alpha 90.00
_cell_angle_beta 90.00
_cell_angle_gamma 90.00
_symmetry_space_group_name_H-M 'P 4/n m m'
_symmetry_Int_Tables_number 129
loop_
_symmetry_equiv_pos_as_xyz
'x,y,z'
'-x,-y,-z'
'-y+1/2,x,z'
'y+1/2,-x,-z'
'-x+1/2,-y+1/2,z'
'x+1/2,y+1/2,-z'
'y,-x+1/2,z'
'-y,x+1/2,-z'
'x+1/2,-y,-z'
'-x+1/2,y,z'
'-y,-x,-z'
'y,x,z'
'-x,y+1/2,-z'
'x,-y+1/2,z'
'y+1/2,x+1/2,-z'
'-y+1/2,-x+1/2,z'
loop_
_atom_site_label
_atom_site_fract_x
_atom_site_fract_y
_atom_site_fract_z
Er1 0.2500 0.2500 0.1829
Mg1 0.2500 0.2500 0.7633
Zr1 0.2500 0.7500 0.5000
```

Properties
excess energy over the best structure of this formula in the dataset	165	meV per atom
density of states at the Fermi level	3.79	states/eV/f.u.